Record 1
Computed, not measured: a geometry-optimized NaGa2Ag2 structure at the PBE level of DFT.

Values from the calculation:
The energy is -13.3 eV/f.u.

Lattice parameters (Å, degrees): 4.486 4.486 10.650 90.00 90.00 90.00
Element x y z (fractional)
Na (0.000, 0.000, 0.000)
Na (0.500, 0.500, 0.500)
Ga (0.000, 0.000, 0.382)
Ga (0.000, 0.000, 0.618)
Ga (0.500, 0.500, 0.118)
Ga (0.500, 0.500, 0.882)
Ag (0.000, 0.500, 0.250)
Ag (0.000, 0.500, 0.750)
Ag (0.500, 0.000, 0.250)
Ag (0.500, 0.000, 0.750)

=====

Record 2
Computed, not measured: a geometry-optimized NaGaAg4 structure at the PBE level of DFT.

Values from the calculation:
The energy is -15.3 eV/f.u.

Lattice parameters (Å, degrees): 6.738 6.738 6.738 41.24 41.24 41.24
Element x y z (fractional)
Na (0.000, 0.000, 0.000)
Ga (0.500, 0.500, 0.500)
Ag (0.209, 0.209, 0.209)
Ag (0.364, 0.364, 0.364)
Ag (0.636, 0.636, 0.636)
Ag (0.791, 0.791, 0.791)

=====

Record 3
Computed, not measured: a geometry-optimized Na4Ga2AgPt structure at the PBE level of DFT.

Values from the calculation:
The energy is -21.1 eV/f.u. The total magnetization is 0.0 μB per formula unit.

Lattice parameters (Å, degrees): 4.790 4.790 6.787 90.00 90.00 90.00
Element x y z (fractional)
Na (0.000, 0.000, 0.000)
Na (0.000, 0.500, 0.749)
Na (0.500, 0.000, 0.251)
Na (0.500, 0.500, 0.500)
Ga (0.000, 0.500, 0.276)
Ga (0.500, 0.000, 0.724)
Ag (0.500, 0.500, 0.000)
Pt (0.000, 0.000, 0.500)

=====

Record 4
Computed, not measured: a geometry-optimized NaGa2AgSe4 structure at the PBE level of DFT.

Values from the calculation:
The energy is -29.3 eV/f.u.

Lattice parameters (Å, degrees): 6.217 6.217 11.014 90.00 90.00 90.00
Element x y z (fractional)
Na (0.000, 0.000, 0.000)
Na (0.500, 0.500, 0.500)
Ga (0.000, 0.000, 0.500)
Ga (0.000, 0.500, 0.750)
Ga (0.500, 0.000, 0.250)
Ga (0.500, 0.500, 0.000)
Ag (0.000, 0.500, 0.250)
Ag (0.500, 0.000, 0.750)
Se (0.209, 0.758, 0.629)
Se (0.242, 0.209, 0.371)
Se (0.258, 0.291, 0.871)
Se (0.291, 0.742, 0.129)
Se (0.709, 0.258, 0.129)
Se (0.742, 0.709, 0.871)
Se (0.758, 0.791, 0.371)
Se (0.791, 0.242, 0.629)

=====

Record 5
Computed, not measured: a geometry-optimized Na4GaSiAg2 structure at the PBE level of DFT.

Values from the calculation:
The energy is -19.1 eV/f.u.

Lattice parameters (Å, degrees): 4.861 4.861 6.860 90.00 90.00 90.00
Element x y z (fractional)
Na (0.000, 0.000, 0.000)
Na (0.000, 0.500, 0.246)
Na (0.500, 0.000, 0.754)
Na (0.500, 0.500, 0.500)
Ga (0.000, 0.000, 0.500)
Si (0.500, 0.500, 0.000)
Ag (0.000, 0.500, 0.760)
Ag (0.500, 0.000, 0.240)

=====

Record 6
Computed, not measured: a geometry-optimized Na4Zn2GaAg structure at the PBE level of DFT.

Values from the calculation:
The energy is -13.5 eV/f.u.

Lattice parameters (Å, degrees): 4.889 4.889 6.867 90.00 90.00 90.00
Element x y z (fractional)
Na (0.000, 0.000, 0.000)
Na (0.000, 0.500, 0.248)
Na (0.500, 0.000, 0.752)
Na (0.500, 0.500, 0.500)
Zn (0.000, 0.500, 0.739)
Zn (0.500, 0.000, 0.261)
Ga (0.000, 0.000, 0.500)
Ag (0.500, 0.500, 0.000)

=====

Record 7
Computed, not measured: a geometry-optimized Na4ZnGa2Ag structure at the PBE level of DFT.

Values from the calculation:
The energy is -15.5 eV/f.u.

Lattice parameters (Å, degrees): 4.874 4.874 6.902 90.00 90.00 90.00
Element x y z (fractional)
Na (0.000, 0.000, 0.000)
Na (0.000, 0.500, 0.748)
Na (0.500, 0.000, 0.252)
Na (0.500, 0.500, 0.500)
Zn (0.000, 0.000, 0.500)
Ga (0.000, 0.500, 0.254)
Ga (0.500, 0.000, 0.746)
Ag (0.500, 0.500, 0.000)

=====

Record 8
Computed, not measured: a geometry-optimized NbGaAg structure at the PBE level of DFT.

Values from the calculation:
The energy is -14.2 eV/f.u. The total magnetization is 0.0 μB per formula unit.

Lattice parameters (Å, degrees): 6.297 6.297 6.297 90.00 90.00 90.00
Element x y z (fractional)
Nb (0.000, 0.000, 0.000)
Nb (0.000, 0.500, 0.500)
Nb (0.500, 0.000, 0.500)
Nb (0.500, 0.500, 0.000)
Ga (0.250, 0.250, 0.250)
Ga (0.250, 0.750, 0.750)
Ga (0.750, 0.250, 0.750)
Ga (0.750, 0.750, 0.250)
Ag (0.250, 0.250, 0.750)
Ag (0.250, 0.750, 0.250)
Ag (0.750, 0.250, 0.250)
Ag (0.750, 0.750, 0.750)

=====

Record 9
Computed, not measured: a geometry-optimized Nb2GaAg structure at the PBE level of DFT.

Values from the calculation:
The energy is -24.7 eV/f.u. The total magnetization is 0.0 μB per formula unit.

Lattice parameters (Å, degrees): 6.571 6.571 6.571 90.00 90.00 90.00
Element x y z (fractional)
Nb (0.000, 0.000, 0.000)
Nb (0.000, 0.500, 0.500)
Nb (0.250, 0.250, 0.250)
Nb (0.250, 0.750, 0.750)
Nb (0.500, 0.000, 0.500)
Nb (0.500, 0.500, 0.000)
Nb (0.750, 0.250, 0.750)
Nb (0.750, 0.750, 0.250)
Ga (0.000, 0.000, 0.500)
Ga (0.000, 0.500, 0.000)
Ga (0.500, 0.000, 0.000)
Ga (0.500, 0.500, 0.500)
Ag (0.250, 0.250, 0.750)
Ag (0.250, 0.750, 0.250)
Ag (0.750, 0.250, 0.250)
Ag (0.750, 0.750, 0.750)

=====

Record 10
Computed, not measured: a geometry-optimized NbGaAg2 structure at the PBE level of DFT.

Values from the calculation:
The energy is -18.0 eV/f.u. The total magnetization is 0.1 μB per formula unit.

Lattice parameters (Å, degrees): 6.518 6.518 6.518 90.00 90.00 90.00
Element x y z (fractional)
Nb (0.000, 0.000, 0.000)
Nb (0.000, 0.500, 0.500)
Nb (0.500, 0.000, 0.500)
Nb (0.500, 0.500, 0.000)
Ga (0.250, 0.250, 0.750)
Ga (0.250, 0.750, 0.250)
Ga (0.750, 0.250, 0.250)
Ga (0.750, 0.750, 0.750)
Ag (0.000, 0.000, 0.500)
Ag (0.000, 0.500, 0.000)
Ag (0.250, 0.250, 0.250)
Ag (0.250, 0.750, 0.750)
Ag (0.500, 0.000, 0.000)
Ag (0.500, 0.500, 0.500)
Ag (0.750, 0.250, 0.750)
Ag (0.750, 0.750, 0.250)

=====

Record 11
Computed, not measured: a geometry-optimized NbGa2Ag structure at the PBE level of DFT.

Values from the calculation:
The energy is -17.8 eV/f.u. The total magnetization is 1.8 μB per formula unit.

Lattice parameters (Å, degrees): 6.542 6.542 6.542 90.00 90.00 90.00
Element x y z (fractional)
Nb (0.000, 0.000, 0.000)
Nb (0.000, 0.500, 0.500)
Nb (0.500, 0.000, 0.500)
Nb (0.500, 0.500, 0.000)
Ga (0.000, 0.000, 0.500)
Ga (0.000, 0.500, 0.000)
Ga (0.250, 0.250, 0.750)
Ga (0.250, 0.750, 0.250)
Ga (0.500, 0.000, 0.000)
Ga (0.500, 0.500, 0.500)
Ga (0.750, 0.250, 0.250)
Ga (0.750, 0.750, 0.750)
Ag (0.250, 0.250, 0.250)
Ag (0.250, 0.750, 0.750)
Ag (0.750, 0.250, 0.750)
Ag (0.750, 0.750, 0.250)

=====

Record 12
Computed, not measured: a geometry-optimized NbGaAg structure at the PBE level of DFT.

Values from the calculation:
The energy is -14.5 eV/f.u. The total magnetization is 0.5 μB per formula unit.

Lattice parameters (Å, degrees): 6.175 6.175 6.175 90.00 90.00 90.00
Element x y z (fractional)
Nb (0.000, 0.000, 0.000)
Nb (0.000, 0.500, 0.500)
Nb (0.500, 0.000, 0.500)
Nb (0.500, 0.500, 0.000)
Ga (0.000, 0.000, 0.500)
Ga (0.000, 0.500, 0.000)
Ga (0.500, 0.000, 0.000)
Ga (0.500, 0.500, 0.500)
Ag (0.250, 0.250, 0.750)
Ag (0.250, 0.750, 0.250)
Ag (0.750, 0.250, 0.250)
Ag (0.750, 0.750, 0.750)

=====

Record 13
Computed, not measured: a geometry-optimized NdGaAg2O4 structure at the PBE level of DFT.

Values from the calculation:
The energy is -45.1 eV/f.u. The total magnetization is 0.0 μB per formula unit.

Lattice parameters (Å, degrees): 3.324 3.324 12.666 90.00 90.00 120.00
Element x y z (fractional)
Nd (0.000, 0.000, 0.000)
Ga (0.000, 0.000, 0.500)
Ag (0.333, 0.667, 0.736)
Ag (0.667, 0.333, 0.264)
O (0.333, 0.667, 0.571)
O (0.333, 0.667, 0.899)
O (0.667, 0.333, 0.101)
O (0.667, 0.333, 0.429)

=====

Record 14
Computed, not measured: a geometry-optimized NdGa2AgPd structure at the PBE level of DFT.

Values from the calculation:
The energy is -21.6 eV/f.u. The total magnetization is 0.0 μB per formula unit.

Lattice parameters (Å, degrees): 4.385 4.385 10.562 90.00 90.00 90.00
Element x y z (fractional)
Nd (0.250, 0.250, 0.245)
Nd (0.750, 0.750, 0.755)
Ga (0.250, 0.250, 0.881)
Ga (0.250, 0.750, 0.500)
Ga (0.750, 0.250, 0.500)
Ga (0.750, 0.750, 0.119)
Ag (0.250, 0.250, 0.639)
Ag (0.750, 0.750, 0.361)
Pd (0.250, 0.750, 0.000)
Pd (0.750, 0.250, 0.000)

=====

Record 15
Computed, not measured: a geometry-optimized Pr2NdGa3AgPd2 structure at the PBE level of DFT.

Values from the calculation:
The energy is -42.8 eV/f.u. The total magnetization is 0.0 μB per formula unit.

Lattice parameters (Å, degrees): 3.980 7.604 7.604 119.98 90.00 90.00
Element x y z (fractional)
Pr (0.000, 0.206, 0.794)
Pr (0.000, 0.794, 0.206)
Nd (0.000, 0.382, 0.382)
Ga (0.500, 0.055, 0.055)
Ga (0.500, 0.534, 0.793)
Ga (0.500, 0.793, 0.534)
Ag (0.000, 0.793, 0.793)
Pd (0.500, 0.128, 0.460)
Pd (0.500, 0.460, 0.128)

=====

Record 16
Computed, not measured: a geometry-optimized Pr2NdGa3AgPt2 structure at the PBE level of DFT.

Values from the calculation:
The energy is -45.6 eV/f.u. The total magnetization is 0.0 μB per formula unit.

Lattice parameters (Å, degrees): 3.972 7.599 7.599 119.97 90.00 90.00
Element x y z (fractional)
Pr (0.000, 0.207, 0.793)
Pr (0.000, 0.793, 0.207)
Nd (0.000, 0.620, 0.620)
Ga (0.500, 0.208, 0.467)
Ga (0.500, 0.467, 0.208)
Ga (0.500, 0.946, 0.946)
Ag (0.000, 0.208, 0.208)
Pt (0.500, 0.541, 0.872)
Pt (0.500, 0.872, 0.541)

=====

Record 17
Computed, not measured: a geometry-optimized PrNd2Ga3AgPt2 structure at the PBE level of DFT.

Values from the calculation:
The energy is -45.7 eV/f.u. The total magnetization is 0.0 μB per formula unit.

Lattice parameters (Å, degrees): 3.966 7.593 7.593 120.04 90.00 90.00
Element x y z (fractional)
Pr (0.000, 0.000, 0.000)
Nd (0.000, 0.413, 0.826)
Nd (0.000, 0.826, 0.413)
Ga (0.500, 0.152, 0.414)
Ga (0.500, 0.414, 0.152)
Ga (0.500, 0.673, 0.673)
Ag (0.000, 0.414, 0.414)
Pt (0.500, 0.080, 0.745)
Pt (0.500, 0.745, 0.080)

=====

Record 18
Computed, not measured: a geometry-optimized NdGa2AgPt structure at the PBE level of DFT.

Values from the calculation:
The energy is -23.3 eV/f.u. The total magnetization is 0.0 μB per formula unit.

Lattice parameters (Å, degrees): 4.356 4.356 10.675 90.00 90.00 90.00
Element x y z (fractional)
Nd (0.250, 0.250, 0.236)
Nd (0.750, 0.750, 0.764)
Ga (0.250, 0.250, 0.644)
Ga (0.250, 0.750, 0.000)
Ga (0.750, 0.250, 0.000)
Ga (0.750, 0.750, 0.356)
Ag (0.250, 0.750, 0.500)
Ag (0.750, 0.250, 0.500)
Pt (0.250, 0.250, 0.874)
Pt (0.750, 0.750, 0.126)

=====

Record 19
Computed, not measured: a geometry-optimized TbNd2Ga3AgPt2 structure at the PBE level of DFT.

Values from the calculation:
The energy is -45.7 eV/f.u. The total magnetization is 0.0 μB per formula unit.

Lattice parameters (Å, degrees): 3.915 7.528 7.528 119.86 90.00 90.00
Element x y z (fractional)
Tb (0.000, 0.000, 0.000)
Nd (0.000, 0.412, 0.823)
Nd (0.000, 0.823, 0.412)
Ga (0.500, 0.146, 0.408)
Ga (0.500, 0.408, 0.146)
Ga (0.500, 0.678, 0.678)
Ag (0.000, 0.407, 0.407)
Pt (0.500, 0.076, 0.751)
Pt (0.500, 0.751, 0.076)

=====

Record 20
Computed, not measured: a geometry-optimized GaNi2Ag structure at the PBE level of DFT.

Values from the calculation:
The energy is -17.0 eV/f.u. The total magnetization is 0.0 μB per formula unit.

Lattice parameters (Å, degrees): 5.983 5.983 5.983 90.00 90.00 90.00
Element x y z (fractional)
Ga (0.000, 0.000, 0.000)
Ga (0.000, 0.500, 0.500)
Ga (0.500, 0.000, 0.500)
Ga (0.500, 0.500, 0.000)
Ni (0.000, 0.000, 0.500)
Ni (0.000, 0.500, 0.000)
Ni (0.250, 0.250, 0.750)
Ni (0.250, 0.750, 0.250)
Ni (0.500, 0.000, 0.000)
Ni (0.500, 0.500, 0.500)
Ni (0.750, 0.250, 0.250)
Ni (0.750, 0.750, 0.750)
Ag (0.250, 0.250, 0.250)
Ag (0.250, 0.750, 0.750)
Ag (0.750, 0.250, 0.750)
Ag (0.750, 0.750, 0.250)